## ScNiAu2 (PBEsol)

Data for a relaxed structure of ScNiAu2.

It has space group I-4m2 (No. 119), with a = 3.917 Å, b = 3.917 Å, c = 8.145 Å, α = 90.00°, β = 90.00° and γ = 90.00°. The inequivalent atoms are Sc at (0.000, 0.000, 0.000), Ni at (0.000, 0.500, 0.750), Au at (0.000, 0.000, 0.500) and Au at (0.000, 0.500, 0.250).

Its formation energy is -0.57 eV per atom. The crystal system is tetragonal.

=====

## AgIrRu (PBEsol)

Data for a relaxed structure of AgIrRu.

It has space group F-43m (No. 216), with a = 5.914 Å, b = 5.914 Å, c = 5.914 Å, α = 90.00°, β = 90.00° and γ = 90.00°. The inequivalent atoms are Ag at (0.000, 0.000, 0.000), Ir at (0.250, 0.250, 0.750) and Ru at (0.000, 0.000, 0.500).

Its formation energy is 0.90 eV per atom. The crystal system is cubic.

=====

## Ti2BiNF (PBEsol)

Data for a relaxed structure of Ti2BiNF.

It has space group P4/mmm (No. 123), with a = 5.289 Å, b = 5.289 Å, c = 4.325 Å, α = 90.00°, β = 90.00° and γ = 90.00°. The inequivalent atoms are Ti at (0.000, 0.500, 0.000), Bi at (0.000, 0.000, 0.000), N at (0.500, 0.500, 0.500) and F at (0.000, 0.000, 0.500).

The crystal system is tetragonal. The formation energy without anion corrections is 1.25 eV per atom.